1.
# RbCdReGe2 PBE relaxed
# formation energy from the elements	0.06	eV/atom
# raw total energy	-4.65	eV per atom
data_RbCdReGe2
_chemical_formula_sum 'Rb1 Cd1 Re1 Ge2'
_cell_length_a 4.867
_cell_length_b 4.867
_cell_length_c 5.477
_cell_angle_alpha 90.00
_cell_angle_beta 90.00
_cell_angle_gamma 90.00
_space_group_name_H-M_alt 'P 1'
_space_group_IT_number 1
loop_
_space_group_symop_operation_xyz
'x,y,z'
loop_
_atom_site_label
_atom_site_type_symbol
_atom_site_fract_x
_atom_site_fract_y
_atom_site_fract_z
Re1 Re 0.000 0.000 0.000
Ge1 Ge 0.000 0.500 0.000
Ge2 Ge 0.500 0.000 0.000
Rb1 Rb 0.500 0.500 0.500
Cd1 Cd 0.000 0.000 0.500


2.
# ZnSiTe2 PBE relaxed
# raw total energy	-2.95	eV per atom
# uncorrected formation energy	0.2913	eV per atom
data_ZnSiTe2
_chemical_formula_sum 'Zn1 Si1 Te2'
_cell_length_a 3.333
_cell_length_b 3.333
_cell_length_c 9.684
_cell_angle_alpha 90.00
_cell_angle_beta 90.00
_cell_angle_gamma 112.24
_space_group_name_H-M_alt 'P 1'
_space_group_IT_number 1
loop_
_space_group_symop_operation_xyz
'x,y,z'
loop_
_atom_site_label
_atom_site_type_symbol
_atom_site_fract_x
_atom_site_fract_y
_atom_site_fract_z
Si1 Si 0.500 0.500 0.717
Te1 Te 0.000 0.000 0.931
Te2 Te 0.500 0.500 0.319
Zn1 Zn 0.000 0.000 0.532